No. 1
The following is a PBE calculation of crystalline DyHfSbO6 at its relaxed geometry, from Alexandria via LeMat-Bulk.

Cell lengths 5.3733, 5.3733, 9.7435 Å; angles 90.00, 90.00, 120.00 degrees
Space group P-31c (No. 163)
Asymmetric unit:
Dy1 0.0000 0.0000 0.0000 (multiplicity 2)
Hf1 0.3333 0.6667 0.2500 (multiplicity 2)
Sb1 0.3333 0.6667 0.7500 (multiplicity 2)
O1 0.0114 0.3609 0.6369 (multiplicity 12)

Summary:
**Crystal system**: trigonal
**Size of the total moment**: 0.00 Bohr magnetons per cell
**ΔE_f (raw)**: -264 kJ per mole of atoms


No. 2
The following is a PBE calculation of crystalline DyHfSi2O8 at its relaxed geometry, from Alexandria via LeMat-Bulk.

Cell lengths 6.817, 6.817, 6.093 Å; angles 90.00, 90.00, 90.00 degrees
Space group I-4m2 (No. 119)
Asymmetric unit:
Dy1 0.000 0.000 0.000 (multiplicity 2)
Hf1 0.000 0.500 0.750 (multiplicity 2)
Si1 0.000 0.000 0.500 (multiplicity 2)
Si2 0.000 0.500 0.250 (multiplicity 2)
O1 0.000 0.190 0.667 (multiplicity 8)
O2 0.000 0.324 0.068 (multiplicity 8)

Summary:
**Crystal system**: tetragonal
**Size of the total moment**: 0.98 Bohr magnetons per cell
**ΔE_f (raw)**: -287 kJ per mole of atoms


No. 3
The following is a PBE calculation of crystalline DyHfTeO6 at its relaxed geometry, from Alexandria via LeMat-Bulk.

Cell lengths 5.4514, 5.4514, 9.7202 Å; angles 90.00, 90.00, 120.00 degrees
Space group P-31c (No. 163)
Asymmetric unit:
Dy1 0.0000 0.0000 0.0000 (multiplicity 2)
Hf1 0.3333 0.6667 0.2500 (multiplicity 2)
Te1 0.3333 0.6667 0.7500 (multiplicity 2)
O1 0.0032 0.3527 0.6363 (multiplicity 12)

Summary:
**Crystal system**: trigonal
**Size of the total moment**: 0.75 Bohr magnetons per cell
**ΔE_f (raw)**: -239 kJ per mole of atoms